# 1
PrTmTe | PBE | optimized geometry

Computed properties:
M_tot ... 0.0 μB per formula unit
Crystal system ... monoclinic
Excess energy over the best structure of this formula in the dataset ... 16.5 meV/atom
ρ ... 7.629 g/cm³
SG ... C2/m, No. 12

abc: 8.803 8.803 11.242
angles: 90.69 90.69 25.92
Fractional positions:
Pr1 0.033 0.033 0.349
Pr2 0.384 0.384 0.151
Pr3 0.616 0.616 0.849
Pr4 0.967 0.967 0.651
Tm1 0.197 0.197 0.097
Tm2 0.245 0.245 0.645
Tm3 0.755 0.755 0.355
Tm4 0.803 0.803 0.903
Te1 0.388 0.388 0.451
Te2 0.432 0.432 0.863
Te3 0.568 0.568 0.137
Te4 0.612 0.612 0.549


# 2
PrTm2Te3 | PBE | optimized geometry

Computed properties:
M_tot ... 0.0 μB per formula unit
Crystal system ... orthorhombic
Excess energy over the best structure of this formula in the dataset ... 0.0 meV/atom
ρ ... 8.016 g/cm³
SG ... Immm, No. 71

abc: 4.348 6.180 13.285
angles: 90.00 90.00 90.00
Fractional positions:
Pr1 0.000 0.000 0.000
Pr2 0.500 0.500 0.500
Tm1 0.000 0.000 0.343
Tm2 0.000 0.000 0.657
Tm3 0.500 0.500 0.157
Tm4 0.500 0.500 0.843
Te1 0.000 0.500 0.000
Te2 0.000 0.500 0.320
Te3 0.000 0.500 0.680
Te4 0.500 0.000 0.180
Te5 0.500 0.000 0.500
Te6 0.500 0.000 0.820